Entry 1:
The following is a PBE-GGA calculation of CrFe2Ru after structural relaxation, from the Alexandria database.

Computed properties:
DOS(E_F) ... 1.169 states/eV per atom
Calculated volume ... 144 Å³ per cell
Energy of formation from the pure elements ... 210 meV/atom

Cell and atoms, written as CIF:
```
data_CrFe2Ru
_chemical_formula_sum 'Cr3 Fe6 Ru3'
_symmetry_space_group_name_H-M 'R -3 m'
_symmetry_Int_Tables_number 166
_symmetry_space_group_name_Hall '-R 3 2"'
_cell_length_a 2.5857
_cell_length_b 2.5857
_cell_length_c 24.9313
_cell_angle_alpha 90.00
_cell_angle_beta 90.00
_cell_angle_gamma 120.00
loop_
_atom_site_label
_atom_site_fract_x
_atom_site_fract_y
_atom_site_fract_z
Cr1 0.0000 0.0000 0.0000
Fe1 0.0000 0.0000 0.2525
Ru1 0.0000 0.0000 0.5000
```

=====

Entry 2:
The following is a PBE-GGA calculation of PrNd2PaS4 after structural relaxation, from the Alexandria database.

Computed properties:
DFT total energy ... -55.442 eV per formula unit
DOS(E_F) ... 0.744 states/eV per atom
Calculated volume ... 185 Å³ per cell

Cell and atoms, written as CIF:
```
data_PrNd2PaS4
_chemical_formula_sum 'Pr1 Nd2 Pa1 S4'
_symmetry_space_group_name_H-M 'P 1 2/m 1'
_symmetry_Int_Tables_number 10
_cell_length_a 6.9853
_cell_length_b 4.0151
_cell_length_c 6.9906
_cell_angle_alpha 90.00
_cell_angle_beta 109.18
_cell_angle_gamma 90.00
loop_
_symmetry_equiv_pos_as_xyz
'x,y,z'
'-x,-y,-z'
'-x,y,-z'
'x,-y,z'
loop_
_atom_site_label
_atom_site_fract_x
_atom_site_fract_y
_atom_site_fract_z
Pr1 0.0000 0.0000 0.0000
Nd1 0.5000 0.0000 0.5000
Nd2 0.5000 0.5000 0.0000
Pa1 0.0000 0.5000 0.5000
S1 0.2420 0.0000 0.7401
S2 0.2463 0.5000 0.2577
```

=====

Entry 3:
The following is a PBE-GGA calculation of Ti2TlAs after structural relaxation, from the Alexandria database.

Computed properties:
Relative energy among the computed polymorphs ... 0.000 eV/atom
DOS(E_F) ... 0.062 states/eV per atom
Calculated volume ... 316 Å³ per cell
Energy of formation from the pure elements ... -112 meV/atom

Cell and atoms, written as CIF:
```
data_Ti2TlAs
_chemical_formula_sum 'Ti8 Tl4 As4'
_symmetry_space_group_name_H-M 'I -4 2 d'
_symmetry_Int_Tables_number 122
_symmetry_space_group_name_Hall 'I -4 2bw'
_cell_length_a 7.2608
_cell_length_b 7.2608
_cell_length_c 5.9894
_cell_angle_alpha 90.00
_cell_angle_beta 90.00
_cell_angle_gamma 90.00
loop_
_atom_site_label
_atom_site_fract_x
_atom_site_fract_y
_atom_site_fract_z
Ti1 0.2201 0.2500 0.1250
Tl1 0.0000 0.0000 0.5000
As1 0.0000 0.0000 0.0000
```